# 1
Density functional theory data (PBE-GGA) for MnPdI3 after structural relaxation.

abc: 5.548 5.548 5.548
angles: 90.00 90.00 90.00
Fractional positions:
Mn: 0.000 0.000 0.000
Pd: 0.500 0.500 0.500
I: 0.000 0.000 0.500
I: 0.000 0.500 0.000
I: 0.500 0.000 0.000

The calculation puts the energy above the most stable polymorph in this dataset at 44 meV per atom. The value obtained for the magnetic moment is 1.028 μB per atom. The value obtained for the density of states at the Fermi level is 18.84 states/eV per cell. As for the symmetry: Pm-3m, No. 221. As for the formation energy from raw total energies: 0.353 eV per atom.

=====

# 2
Density functional theory data (PBE-GGA) for MnAlTlAs2 after structural relaxation.

abc: 4.923 4.923 4.677
angles: 90.00 90.00 90.00
Fractional positions:
Mn: 0.000 0.000 0.000
Al: 0.000 0.000 0.500
Tl: 0.500 0.500 0.000
As: 0.000 0.500 0.500
As: 0.500 0.000 0.500

The value obtained for the magnetic moment is 0.008 μB per atom. The value obtained for the density of states at the Fermi level is 7.15 states/eV per cell. Its total energy is -20.1 eV per formula unit. As for the symmetry: P4/mmm, No. 123.

=====

- magnetic moment of number 1 (MnPdI3)?
  1.028 μB per atom